Entry 1:
# TlVCr3

TlVCr3 after structural relaxation (GGA-PBE, the Alexandria database).

Geometry as CIF:
```
data_TlVCr3
_space_group_name_H-M_alt 'P m -3 m'
_space_group_IT_number 221
_space_group_name_Hall '-P 4 2 3'
_cell_length_a 4.522
_cell_length_b 4.522
_cell_length_c 4.522
_cell_angle_alpha 90.00
_cell_angle_beta 90.00
_cell_angle_gamma 90.00
loop_
_atom_site_label
_atom_site_fract_x
_atom_site_fract_y
_atom_site_fract_z
Tl1 0.000 0.000 0.000
V1 0.500 0.500 0.500
Cr1 0.000 0.500 0.500
```

Properties
Formation energy, meV/atom: 1182

***

Entry 2:
# Tl2VCr

Tl2VCr after structural relaxation (GGA-PBE, the Alexandria database).

Geometry as CIF:
```
data_Tl2VCr
_space_group_name_H-M_alt 'F m -3 m'
_space_group_IT_number 225
_space_group_name_Hall '-F 4 2 3'
_cell_length_a 6.849
_cell_length_b 6.849
_cell_length_c 6.849
_cell_angle_alpha 90.00
_cell_angle_beta 90.00
_cell_angle_gamma 90.00
loop_
_atom_site_label
_atom_site_fract_x
_atom_site_fract_y
_atom_site_fract_z
Tl1 0.250 0.250 0.250
V1 0.000 0.000 0.000
Cr1 0.000 0.000 0.500
```

Properties
Formation energy, meV/atom: 665

***

Entry 3:
# Tl2VCr

Tl2VCr after structural relaxation (GGA-PBE, the Alexandria database).

Geometry as CIF:
```
data_Tl2VCr
_space_group_name_H-M_alt 'I -4 2 d'
_space_group_IT_number 122
_space_group_name_Hall 'I -4 2bw'
_cell_length_a 7.731
_cell_length_b 7.731
_cell_length_c 5.996
_cell_angle_alpha 90.00
_cell_angle_beta 90.00
_cell_angle_gamma 90.00
loop_
_atom_site_label
_atom_site_fract_x
_atom_site_fract_y
_atom_site_fract_z
Tl1 0.249 0.250 0.125
V1 0.000 0.000 0.500
Cr1 0.000 0.000 0.000
```

Properties
Formation energy, meV/atom: 872

***

Entry 4:
# TlCrW

TlCrW after structural relaxation (GGA-PBE, the Alexandria database).

Geometry as CIF:
```
data_TlCrW
_space_group_name_H-M_alt 'P 3 m 1'
_space_group_IT_number 156
_cell_length_a 4.5000
_cell_length_b 4.5000
_cell_length_c 2.9068
_cell_angle_alpha 90.00
_cell_angle_beta 90.00
_cell_angle_gamma 120.00
loop_
_space_group_symop_operation_xyz
'x,y,z'
'-y,x-y,z'
'-x+y,-x,z'
'-y,-x,z'
'-x+y,y,z'
'x,x-y,z'
loop_
_atom_site_label
_atom_site_fract_x
_atom_site_fract_y
_atom_site_fract_z
Tl1 0.0000 0.0000 0.0000
Cr1 0.6667 0.3333 0.6777
W1 0.3333 0.6667 0.4489
```

Properties
Formation energy, meV/atom: 887

***

Entry 5:
# TlCrW3

TlCrW3 after structural relaxation (GGA-PBE, the Alexandria database).

Geometry as CIF:
```
data_TlCrW3
_space_group_name_H-M_alt 'P m -3 m'
_space_group_IT_number 221
_space_group_name_Hall '-P 4 2 3'
_cell_length_a 4.566
_cell_length_b 4.566
_cell_length_c 4.566
_cell_angle_alpha 90.00
_cell_angle_beta 90.00
_cell_angle_gamma 90.00
loop_
_atom_site_label
_atom_site_fract_x
_atom_site_fract_y
_atom_site_fract_z
Tl1 0.000 0.000 0.000
Cr1 0.500 0.500 0.500
W1 0.000 0.500 0.500
```

Properties
Formation energy, meV/atom: 1543

***

Entry 6:
# TlCrW

TlCrW after structural relaxation (GGA-PBE, the Alexandria database).

Geometry as CIF:
```
data_TlCrW
_space_group_name_H-M_alt 'P 3 m 1'
_space_group_IT_number 156
_cell_length_a 3.0762
_cell_length_b 3.0762
_cell_length_c 6.6180
_cell_angle_alpha 90.00
_cell_angle_beta 90.00
_cell_angle_gamma 120.00
loop_
_space_group_symop_operation_xyz
'x,y,z'
'-y,x-y,z'
'-x+y,-x,z'
'-y,-x,z'
'-x+y,y,z'
'x,x-y,z'
loop_
_atom_site_label
_atom_site_fract_x
_atom_site_fract_y
_atom_site_fract_z
Tl1 0.0000 0.0000 0.0000
Cr1 0.3333 0.6667 0.6385
W1 0.6667 0.3333 0.3913
```

Properties
Formation energy, meV/atom: 706

***

Entry 7:
# TlCrW4

TlCrW4 after structural relaxation (GGA-PBE, the Alexandria database).

Geometry as CIF:
```
data_TlCrW4
_space_group_name_H-M_alt 'F -4 3 m'
_space_group_IT_number 216
_space_group_name_Hall 'F -4 2 3'
_cell_length_a 7.537
_cell_length_b 7.537
_cell_length_c 7.537
_cell_angle_alpha 90.00
_cell_angle_beta 90.00
_cell_angle_gamma 90.00
loop_
_atom_site_label
_atom_site_fract_x
_atom_site_fract_y
_atom_site_fract_z
Tl1 0.000 0.000 0.000
Cr1 0.250 0.250 0.250
W1 0.126 0.126 0.626
```

Properties
Formation energy, meV/atom: 796

***

Entry 8:
# TlCrW

TlCrW after structural relaxation (GGA-PBE, the Alexandria database).

Geometry as CIF:
```
data_TlCrW
_space_group_name_H-M_alt 'I 4 m m'
_space_group_IT_number 107
_space_group_name_Hall 'I 4 -2'
_cell_length_a 3.187
_cell_length_b 3.187
_cell_length_c 10.012
_cell_angle_alpha 90.00
_cell_angle_beta 90.00
_cell_angle_gamma 90.00
loop_
_atom_site_label
_atom_site_fract_x
_atom_site_fract_y
_atom_site_fract_z
Tl1 0.000 0.000 0.000
Cr1 0.000 0.000 0.317
W1 0.000 0.000 0.699
```

Properties
Formation energy, meV/atom: 709

***

Entry 9:
# TlCrW

TlCrW after structural relaxation (GGA-PBE, the Alexandria database).

Geometry as CIF:
```
data_TlCrW
_space_group_name_H-M_alt 'F -4 3 m'
_space_group_IT_number 216
_space_group_name_Hall 'F -4 2 3'
_cell_length_a 6.130
_cell_length_b 6.130
_cell_length_c 6.130
_cell_angle_alpha 90.00
_cell_angle_beta 90.00
_cell_angle_gamma 90.00
loop_
_atom_site_label
_atom_site_fract_x
_atom_site_fract_y
_atom_site_fract_z
Tl1 0.000 0.000 0.000
Cr1 0.250 0.250 0.750
W1 0.000 0.000 0.500
```

Properties
Formation energy, meV/atom: 1144

***

Entry 10:
# TlCr3W

TlCr3W after structural relaxation (GGA-PBE, the Alexandria database).

Geometry as CIF:
```
data_TlCr3W
_space_group_name_H-M_alt 'P m -3 m'
_space_group_IT_number 221
_space_group_name_Hall '-P 4 2 3'
_cell_length_a 4.755
_cell_length_b 4.755
_cell_length_c 4.755
_cell_angle_alpha 90.00
_cell_angle_beta 90.00
_cell_angle_gamma 90.00
loop_
_atom_site_label
_atom_site_fract_x
_atom_site_fract_y
_atom_site_fract_z
Tl1 0.000 0.000 0.000
Cr1 0.000 0.500 0.500
W1 0.500 0.500 0.500
```

Properties
Formation energy, meV/atom: 1433

***

Entry 11:
# TlCr4W

TlCr4W after structural relaxation (GGA-PBE, the Alexandria database).

Geometry as CIF:
```
data_TlCr4W
_space_group_name_H-M_alt 'F -4 3 m'
_space_group_IT_number 216
_space_group_name_Hall 'F -4 2 3'
_cell_length_a 6.933
_cell_length_b 6.933
_cell_length_c 6.933
_cell_angle_alpha 90.00
_cell_angle_beta 90.00
_cell_angle_gamma 90.00
loop_
_atom_site_label
_atom_site_fract_x
_atom_site_fract_y
_atom_site_fract_z
Tl1 0.000 0.000 0.000
Cr1 0.125 0.125 0.375
W1 0.250 0.250 0.750
```

Properties
Formation energy, meV/atom: 377

***

Entry 12:
# TlCrW

TlCrW after structural relaxation (GGA-PBE, the Alexandria database).

Geometry as CIF:
```
data_TlCrW
_space_group_name_H-M_alt 'F m m 2'
_space_group_IT_number 42
_space_group_name_Hall 'F 2 -2'
_cell_length_a 3.115
_cell_length_b 4.992
_cell_length_c 13.748
_cell_angle_alpha 90.00
_cell_angle_beta 90.00
_cell_angle_gamma 90.00
loop_
_atom_site_label
_atom_site_fract_x
_atom_site_fract_y
_atom_site_fract_z
Tl1 0.000 0.000 0.000
Cr1 0.000 0.000 0.323
W1 0.000 0.000 0.692
```

Properties
Formation energy, meV/atom: 732